## Ca3Tb2ErTe6 (GGA-PBE)

Data for Ca3Tb2ErTe6 after structural relaxation.

Calculated values
VASP energy in Ry/atom: -0.344
Energy relative to the elements, uncorrected in eV/f.u.: -17.4
Calculated density in Mg/m³: 6.20

abc: 7.602 7.602 7.755
angles: 99.43 99.43 119.94
Atoms (fractional coordinates):
Ca 0.000 0.000 0.000
Ca 0.332 0.668 0.000
Ca 0.668 0.332 0.000
Tb 0.166 0.834 0.500
Tb 0.834 0.166 0.500
Er 0.500 0.500 0.500
Te 0.088 0.419 0.255
Te 0.252 0.252 0.746
Te 0.419 0.088 0.255
Te 0.581 0.912 0.745
Te 0.748 0.748 0.254
Te 0.912 0.581 0.745